No. 1
An optimized crystal structure of Tb. Source: OQMD, functional PBE-GGA.

Calculated values
For the energy above the most stable polymorph in this dataset, the calculation gives 16 meV per atom.

a b c (Å): 3.6265 3.6265 5.6489
angles (deg): 90.00 90.00 121.04
Atoms (fractional coordinates):
Tb (0.1589, 0.8411, 0.7500)
Tb (0.8411, 0.1589, 0.2500)

No. 2
An optimized crystal structure of AuIBr6. Source: OQMD, functional PBE-GGA.

Calculated values
The total energy comes out at -12.07 eV/cell.

a b c (Å): 7.3689 7.3689 7.3689
angles (deg): 60.00 60.00 60.00
Atoms (fractional coordinates):
Au (0.0000, 0.0000, 0.0000)
I (0.2500, 0.2500, 0.2500)
Br (0.5063, 0.5063, 0.9937)
Br (0.5063, 0.9937, 0.5063)
Br (0.5063, 0.9937, 0.9937)
Br (0.9937, 0.5063, 0.5063)
Br (0.9937, 0.5063, 0.9937)
Br (0.9937, 0.9937, 0.5063)

No. 3
An optimized crystal structure of SrAcRe. Source: OQMD, functional PBE-GGA.

Calculated values
The total energy comes out at -13.01 eV/cell.

a b c (Å): 5.1831 5.1831 5.1831
angles (deg): 60.00 60.00 60.00
Atoms (fractional coordinates):
Sr (0.0000, 0.0000, 0.0000)
Ac (0.2500, 0.2500, 0.2500)
Re (0.7500, 0.7500, 0.7500)

No. 4
An optimized crystal structure of Sr2NbH6Pt. Source: OQMD, functional PBE-GGA.

Calculated values
The total energy comes out at -83.33 eV/cell.

a b c (Å): 5.5735 5.5770 7.9277
angles (deg): 90.02 90.00 90.18
Atoms (fractional coordinates):
Sr (0.0001, 0.9999, 0.2501)
Sr (0.9999, 0.0001, 0.7499)
Sr (0.4998, 0.4998, 0.2500)
Sr (0.5002, 0.5002, 0.7500)
Nb (0.0000, 0.5000, 0.0000)
Nb (0.5000, 0.0000, 0.5000)
H (0.0012, 0.4998, 0.7415)
H (0.2338, 0.7448, 0.4990)
H (0.2453, 0.2639, 0.4997)
H (0.2576, 0.2384, 0.0005)
H (0.2637, 0.7574, 0.0009)
H (0.4991, 0.0003, 0.7584)
H (0.5009, 0.9997, 0.2416)
H (0.7363, 0.2426, 0.9991)
H (0.7424, 0.7616, 0.9995)
H (0.7547, 0.7361, 0.5003)
H (0.7662, 0.2552, 0.5010)
H (0.9988, 0.5002, 0.2585)
Pt (0.0000, 0.5000, 0.5000)
Pt (0.5000, 0.0000, 0.0000)

No. 5
An optimized crystal structure of Zr3SnB4. Source: OQMD, functional PBE-GGA.

Calculated values
The total energy comes out at -62.15 eV/cell.

a b c (Å): 3.1298 3.3927 10.4409
angles (deg): 90.00 90.00 90.00
Atoms (fractional coordinates):
Zr (0.0000, 0.0000, 0.0000)
Zr (0.5000, 0.0000, 0.2748)
Zr (0.5000, 0.0000, 0.7252)
Sn (0.0000, 0.5000, 0.5000)
B (0.0000, 0.5000, 0.1729)
B (0.0000, 0.5000, 0.8271)
B (0.5000, 0.5000, 0.0956)
B (0.5000, 0.5000, 0.9044)

No. 6
An optimized crystal structure of NdCo2SiB. Source: OQMD, functional PBE-GGA.

Calculated values
The total energy comes out at -33.83 eV/cell.

a b c (Å): 5.7855 5.7855 5.7855
angles (deg): 142.56 142.56 53.99
Atoms (fractional coordinates):
Nd (0.0000, 0.0000, 0.0000)
Co (0.2697, 0.7697, 0.5000)
Co (0.7697, 0.2697, 0.5000)
Si (0.6489, 0.6489, 0.0000)
B (0.3490, 0.3490, 0.0000)

No. 7
An optimized crystal structure of Sm4BI3Cl2. Source: OQMD, functional PBE-GGA.

Calculated values
The total energy comes out at -47.22 eV/cell.

a b c (Å): 9.6454 9.6454 8.7033
angles (deg): 99.81 99.81 24.43
Atoms (fractional coordinates):
Sm (0.0021, 0.0021, 0.2991)
Sm (0.3615, 0.3615, 0.4308)
Sm (0.6385, 0.6385, 0.5692)
Sm (0.9979, 0.9979, 0.7009)
B (0.5000, 0.5000, 0.5000)
I (0.1752, 0.1752, 0.3125)
I (0.5000, 0.5000, 0.0000)
I (0.8248, 0.8248, 0.6875)
Cl (0.1494, 0.1494, 0.7937)
Cl (0.8506, 0.8506, 0.2063)

No. 8
An optimized crystal structure of Tb3Al. Source: OQMD, functional PBE-GGA.

Calculated values
The total energy comes out at -17.81 eV/cell.

a b c (Å): 5.3628 5.3628 5.3628
angles (deg): 60.00 60.00 60.00
Atoms (fractional coordinates):
Tb (0.0000, 0.0000, 0.0000)
Tb (0.2500, 0.2500, 0.2500)
Tb (0.7500, 0.7500, 0.7500)
Al (0.5000, 0.5000, 0.5000)

No. 9
An optimized crystal structure of ZrInCuTeS2. Source: OQMD, functional PBE-GGA.

Calculated values
The total energy comes out at -62.05 eV/cell.

a b c (Å): 7.8363 7.8363 10.3501
angles (deg): 90.00 90.00 152.15
Atoms (fractional coordinates):
Zr (0.0000, 0.0000, 0.0000)
Zr (0.0000, 0.0000, 0.5000)
In (0.2158, 0.7842, 0.7500)
In (0.7842, 0.2158, 0.2500)
Cu (0.4725, 0.5275, 0.2500)
Cu (0.5275, 0.4725, 0.7500)
Te (0.0927, 0.9073, 0.2500)
Te (0.9073, 0.0927, 0.7500)
S (0.3900, 0.6100, 0.0649)
S (0.3900, 0.6100, 0.4351)
S (0.6100, 0.3900, 0.5649)
S (0.6100, 0.3900, 0.9351)

No. 10
An optimized crystal structure of ErAuSeO. Source: OQMD, functional PBE-GGA.

Calculated values
For the energy above the most stable polymorph in this dataset, the calculation gives 98 meV per atom.

a b c (Å): 3.9106 3.9106 9.4771
angles (deg): 90.00 90.00 90.00
Atoms (fractional coordinates):
Er (0.2500, 0.2500, 0.1149)
Er (0.7500, 0.7500, 0.8851)
Au (0.2500, 0.7500, 0.5000)
Au (0.7500, 0.2500, 0.5000)
Se (0.2500, 0.2500, 0.7199)
Se (0.7500, 0.7500, 0.2801)
O (0.2500, 0.7500, 0.0000)
O (0.7500, 0.2500, 0.0000)

No. 11
An optimized crystal structure of LiTmBO3. Source: OQMD, functional PBE-GGA.

Calculated values
The total energy comes out at -85.43 eV/cell.

a b c (Å): 4.5747 4.8240 6.4633
angles (deg): 90.66 109.24 116.00
Atoms (fractional coordinates):
Li (0.0065, 0.2295, 0.3893)
Li (0.9935, 0.7705, 0.6107)
Tm (0.2395, 0.8242, 0.1959)
Tm (0.7605, 0.1758, 0.8041)
B (0.4407, 0.5532, 0.7347)
B (0.5593, 0.4468, 0.2653)
O (0.1900, 0.3215, 0.1402)
O (0.2334, 0.2288, 0.7123)
O (0.3639, 0.7126, 0.5576)
O (0.6361, 0.2874, 0.4424)
O (0.7666, 0.7712, 0.2877)
O (0.8100, 0.6785, 0.8598)

No. 12
An optimized crystal structure of ErCuTeS. Source: OQMD, functional PBE-GGA.

Calculated values
The total energy comes out at -80.28 eV/cell.

a b c (Å): 6.2840 7.3791 7.3837
angles (deg): 90.00 92.71 90.00
Atoms (fractional coordinates):
Er (0.1402, 0.0214, 0.2712)
Er (0.1402, 0.4786, 0.7712)
Er (0.8598, 0.5214, 0.2288)
Er (0.8598, 0.9786, 0.7288)
Cu (0.4240, 0.6575, 0.4664)
Cu (0.4240, 0.8425, 0.9664)
Cu (0.5760, 0.1575, 0.0336)
Cu (0.5760, 0.3425, 0.5336)
Te (0.3728, 0.1084, 0.7198)
Te (0.3728, 0.3916, 0.2198)
Te (0.6272, 0.6084, 0.7802)
Te (0.6272, 0.8916, 0.2802)
S (0.0740, 0.7310, 0.4994)
S (0.0740, 0.7690, 0.9994)
S (0.9260, 0.2310, 0.0006)
S (0.9260, 0.2690, 0.5006)

No. 13
An optimized crystal structure of CuHgBiW. Source: OQMD, functional PBE-GGA.

Calculated values
For the energy above the most stable polymorph in this dataset, the calculation gives 0 meV per atom.

a b c (Å): 4.7994 4.7994 4.7994
angles (deg): 60.00 60.00 60.00
Atoms (fractional coordinates):
Cu (0.0000, 0.0000, 0.0000)
Hg (0.2500, 0.2500, 0.2500)
Bi (0.7500, 0.7500, 0.7500)
W (0.5000, 0.5000, 0.5000)

No. 14
An optimized crystal structure of Zr3HgN. Source: OQMD, functional PBE-GGA.

Calculated values
The total energy comes out at -38.41 eV/cell.

a b c (Å): 4.5059 4.5059 4.5059
angles (deg): 90.00 90.00 90.00
Atoms (fractional coordinates):
Zr (0.0000, 0.0000, 0.5000)
Zr (0.0000, 0.5000, 0.0000)
Zr (0.5000, 0.0000, 0.0000)
Hg (0.5000, 0.5000, 0.5000)
N (0.0000, 0.0000, 0.0000)

No. 15
An optimized crystal structure of DyTlSbTe3. Source: OQMD, functional PBE-GGA.

Calculated values
The total energy comes out at -47.71 eV/cell.

a b c (Å): 8.0091 8.0091 12.5384
angles (deg): 90.00 90.00 149.41
Atoms (fractional coordinates):
Dy (0.0000, 0.0000, 0.0000)
Dy (0.0000, 0.0000, 0.5000)
Tl (0.2889, 0.7111, 0.7500)
Tl (0.7111, 0.2889, 0.2500)
Sb (0.3863, 0.6137, 0.2500)
Sb (0.6137, 0.3863, 0.7500)
Te (0.0358, 0.9642, 0.2500)
Te (0.3583, 0.6417, 0.0113)
Te (0.3583, 0.6417, 0.4887)
Te (0.6417, 0.3583, 0.5113)
Te (0.6417, 0.3583, 0.9887)
Te (0.9642, 0.0358, 0.7500)

No. 16
An optimized crystal structure of HfCuSnAu. Source: OQMD, functional PBE-GGA.

Calculated values
For the energy above the most stable polymorph in this dataset, the calculation gives 6 meV per atom.

a b c (Å): 4.7343 4.7343 4.7343
angles (deg): 60.00 60.00 60.00
Atoms (fractional coordinates):
Hf (0.0000, 0.0000, 0.0000)
Cu (0.5000, 0.5000, 0.5000)
Sn (0.2500, 0.2500, 0.2500)
Au (0.7500, 0.7500, 0.7500)

No. 17
An optimized crystal structure of AcLuO3. Source: OQMD, functional PBE-GGA.

Calculated values
The total energy comes out at -37.93 eV/cell.

a b c (Å): 3.8092 3.8092 5.9910
angles (deg): 90.00 90.00 90.00
Atoms (fractional coordinates):
Ac (0.0000, 0.0000, 0.0000)
Lu (0.5000, 0.5000, 0.4140)
O (0.0000, 0.0000, 0.6156)
O (0.0000, 0.5000, 0.2318)
O (0.5000, 0.0000, 0.2318)

No. 18
An optimized crystal structure of RbLuTe. Source: OQMD, functional PBE-GGA.

Calculated values
For the energy above the most stable polymorph in this dataset, the calculation gives 362 meV per atom.

a b c (Å): 5.7593 5.7593 5.7593
angles (deg): 60.00 60.00 60.00
Atoms (fractional coordinates):
Rb (0.0000, 0.0000, 0.0000)
Lu (0.7500, 0.7500, 0.7500)
Te (0.2500, 0.2500, 0.2500)

No. 19
An optimized crystal structure of HfNbCo2. Source: OQMD, functional PBE-GGA.

Calculated values
The total energy comes out at -33.99 eV/cell.

a b c (Å): 4.3533 4.3533 4.3533
angles (deg): 60.00 60.00 60.00
Atoms (fractional coordinates):
Hf (0.0000, 0.0000, 0.0000)
Nb (0.7500, 0.7500, 0.7500)
Co (0.2500, 0.2500, 0.2500)
Co (0.5000, 0.5000, 0.5000)

No. 20
An optimized crystal structure of Li2Zr2Al2FePd. Source: OQMD, functional PBE-GGA.

Calculated values
The total energy comes out at -45.29 eV/cell.

a b c (Å): 4.4045 4.4045 6.3501
angles (deg): 90.00 90.00 90.00
Atoms (fractional coordinates):
Li (0.0000, 0.0000, 0.0000)
Li (0.5000, 0.5000, 0.5000)
Zr (0.0000, 0.5000, 0.7330)
Zr (0.5000, 0.0000, 0.2670)
Al (0.0000, 0.5000, 0.2658)
Al (0.5000, 0.0000, 0.7342)
Fe (0.0000, 0.0000, 0.5000)
Pd (0.5000, 0.5000, 0.0000)